1.
## BeCoAg2 (PBE-GGA)

Data for a relaxed structure of BeCoAg2.

a = 2.7281 Å, b = 3.9246 Å, c = 5.3294 Å
α = 90.00°, β = 101.56°, γ = 90.00°
Fractional coordinates of all 4 atoms:
Be  0.0000  0.0000  0.0000
Co  0.0000  0.0000  0.5000
Ag  0.4045  0.5000  0.2391
Ag  0.5955  0.5000  0.7609

The space-group type is P2/m. The formation energy is 0.3993 eV/atom.

2.
## CsVCl3 (PBE-GGA)

Data for a relaxed structure of CsVCl3.

a = 7.3641 Å, b = 7.3641 Å, c = 6.2482 Å
α = 90.00°, β = 90.00°, γ = 120.00°
Fractional coordinates of all 10 atoms:
Cs  0.3333  0.6667  0.2500
Cs  0.6667  0.3333  0.7500
V  0.0000  0.0000  0.0000
V  0.0000  0.0000  0.5000
Cl  0.1524  0.3048  0.7500
Cl  0.1524  0.8476  0.7500
Cl  0.3048  0.1524  0.2500
Cl  0.6952  0.8476  0.7500
Cl  0.8476  0.1524  0.2500
Cl  0.8476  0.6952  0.2500

The space-group type is P6_3/mmc. Its energy relative to the lowest polymorph listed for this composition is 0 meV per atom. As for the raw formation energy: -1528 meV/atom.

3.
## NbZn2Cu (PBE-GGA)

Data for a relaxed structure of NbZn2Cu.

a = 3.9293 Å, b = 3.9293 Å, c = 3.8773 Å
α = 90.00°, β = 90.00°, γ = 90.00°
Fractional coordinates of all 4 atoms:
Nb  0.0000  0.0000  0.0000
Zn  0.0000  0.5000  0.5000
Zn  0.5000  0.0000  0.5000
Cu  0.5000  0.5000  0.0000

The space-group type is P4/mmm. The formation energy is -0.0026 eV/atom. Its energy relative to the lowest polymorph listed for this composition is 94 meV per atom.

4.
## Mg2Ga (PBE-GGA)

Data for a relaxed structure of Mg2Ga.

a = 5.7791 Å, b = 5.7791 Å, c = 7.7579 Å
α = 110.67°, β = 110.67°, γ = 30.58°
Fractional coordinates of all 6 atoms:
Mg  0.1397  0.1397  0.0267
Mg  0.1652  0.1652  0.6223
Mg  0.8348  0.8348  0.3777
Mg  0.8603  0.8603  0.9733
Ga  0.4541  0.4541  0.7155
Ga  0.5459  0.5459  0.2845

The space-group type is C2/m. The formation energy is -0.0877 eV/atom.

5.
## RbMg2CrAg (PBE-GGA)

Data for a relaxed structure of RbMg2CrAg.

a = 6.3721 Å, b = 6.3721 Å, c = 5.9528 Å
α = 90.00°, β = 90.00°, γ = 90.00°
Fractional coordinates of all 5 atoms:
Rb  0.0000  0.0000  0.0000
Mg  0.0000  0.5000  0.0000
Mg  0.5000  0.0000  0.0000
Cr  0.5000  0.5000  0.5000
Ag  0.0000  0.0000  0.5000

The space-group type is P4/mmm. The formation energy is 1.5142 eV/atom.

6.
## CrSnSe2 (PBE-GGA)

Data for a relaxed structure of CrSnSe2.

a = 3.6555 Å, b = 6.1989 Å, c = 9.6142 Å
α = 89.78°, β = 89.96°, γ = 72.90°
Fractional coordinates of all 8 atoms:
Cr  0.0000  0.0000  0.0000
Cr  0.1452  0.7079  0.0921
Sn  0.6309  0.7385  0.5851
Sn  0.8720  0.2510  0.3345
Se  0.2997  0.3997  0.5784
Se  0.3720  0.2560  0.0828
Se  0.6199  0.7599  0.8973
Se  0.6432  0.7116  0.2660

The space-group type is P1. As for the raw formation energy: -222 meV/atom.

7.
## BeFeIr2 (PBE-GGA)

Data for a relaxed structure of BeFeIr2.

a = 8.5063 Å, b = 8.5063 Å, c = 8.5063 Å
α = 154.67°, β = 154.67°, γ = 36.12°
Fractional coordinates of all 8 atoms:
Be  0.0000  0.0000  0.0000
Be  0.7500  0.2500  0.5000
Fe  0.2500  0.7500  0.5000
Fe  0.5000  0.5000  0.0000
Ir  0.1081  0.6250  0.9831
Ir  0.3750  0.3581  0.4831
Ir  0.6419  0.1250  0.0169
Ir  0.8750  0.8919  0.5169

The space-group type is I-42d. The formation energy is 0.3783 eV/atom.

8.
## PmPrSn (PBE-GGA)

Data for a relaxed structure of PmPrSn.

a = 5.5814 Å, b = 5.5814 Å, c = 6.7947 Å
α = 90.00°, β = 90.00°, γ = 120.00°
Fractional coordinates of all 6 atoms:
Pm  0.0000  0.0000  0.0000
Pm  0.0000  0.0000  0.5000
Pr  0.3333  0.6667  0.2500
Pr  0.6667  0.3333  0.7500
Sn  0.3333  0.6667  0.7500
Sn  0.6667  0.3333  0.2500

The space-group type is P6_3/mmc. The formation energy is -0.5653 eV/atom. Its energy relative to the lowest polymorph listed for this composition is 23 meV per atom.

9.
## Th2BeB3Ir4 (PBE-GGA)

Data for a relaxed structure of Th2BeB3Ir4.

a = 3.9735 Å, b = 3.9735 Å, c = 9.3607 Å
α = 90.00°, β = 90.00°, γ = 90.00°
Fractional coordinates of all 10 atoms:
Th  0.0000  0.5000  0.2403
Th  0.5000  0.0000  0.7597
Be  0.5000  0.5000  0.0000
B  0.0000  0.0000  0.0000
B  0.0000  0.5000  0.6141
B  0.5000  0.0000  0.3859
Ir  0.0000  0.0000  0.5000
Ir  0.0000  0.5000  0.8737
Ir  0.5000  0.0000  0.1263
Ir  0.5000  0.5000  0.5000

The space-group type is P-4m2. The formation energy is -0.6030 eV/atom.

10.
## Tl2OsBr (PBE-GGA)

Data for a relaxed structure of Tl2OsBr.

a = 7.9568 Å, b = 7.9568 Å, c = 7.9568 Å
α = 157.32°, β = 145.79°, γ = 41.44°
Fractional coordinates of all 4 atoms:
Tl  0.0000  0.0000  0.0000
Tl  0.6701  0.1701  0.5000
Os  0.4775  0.4775  0.0000
Br  0.3387  0.8387  0.5000

The space-group type is Imm2. Its energy relative to the lowest polymorph listed for this composition is 0 meV per atom. As for the raw formation energy: 583 meV/atom.

11.
## Cr3Os (PBE-GGA)

Data for a relaxed structure of Cr3Os.

a = 4.8179 Å, b = 4.8179 Å, c = 4.8179 Å
α = 144.93°, β = 128.79°, γ = 63.58°
Fractional coordinates of all 4 atoms:
Cr  0.0000  0.0000  0.0000
Cr  0.2372  0.7372  0.5000
Cr  0.7628  0.2628  0.5000
Os  0.5000  0.5000  0.0000

The space-group type is Immm. The formation energy is 0.0584 eV/atom.

12.
## Tm2FeSi2Tc (PBE-GGA)

Data for a relaxed structure of Tm2FeSi2Tc.

a = 7.5668 Å, b = 7.5668 Å, c = 7.5668 Å
α = 134.10°, β = 66.78°, γ = 134.30°
Fractional coordinates of all 12 atoms:
Tm  0.1582  0.2407  0.3989
Tm  0.3418  0.7407  0.0825
Tm  0.6582  0.2593  0.9175
Tm  0.8418  0.7593  0.6011
Fe  0.2500  0.2500  0.0000
Fe  0.7500  0.7500  0.0000
Si  0.0955  0.7625  0.8580
Si  0.4045  0.2625  0.6670
Si  0.5955  0.7375  0.3330
Si  0.9045  0.2375  0.1420
Tc  0.2500  0.7500  0.5000
Tc  0.7500  0.2500  0.5000

The space-group type is Ibam. As for the raw formation energy: -607 meV/atom.

13.
## BaCaO3 (PBE-GGA)

Data for a relaxed structure of BaCaO3.

a = 4.5752 Å, b = 4.5752 Å, c = 4.5752 Å
α = 90.00°, β = 90.00°, γ = 90.00°
Fractional coordinates of all 5 atoms:
Ba  0.0000  0.0000  0.0000
Ca  0.5000  0.5000  0.5000
O  0.0000  0.0000  0.5000
O  0.0000  0.5000  0.0000
O  0.5000  0.0000  0.0000

The space-group type is Pm-3m. As for the raw formation energy: -1162 meV/atom.

14.
## Li4LaTe3O12 (PBE-GGA)

Data for a relaxed structure of Li4LaTe3O12.

a = 6.8070 Å, b = 6.8070 Å, c = 6.8070 Å
α = 107.49°, β = 107.49°, γ = 107.49°
Fractional coordinates of all 20 atoms:
Li  0.0000  0.0000  0.0000
Li  0.0000  0.4305  0.5695
Li  0.4305  0.5695  0.0000
Li  0.5695  0.0000  0.4305
La  0.5000  0.5000  0.5000
Te  0.0617  0.9383  0.5000
Te  0.5000  0.0617  0.9383
Te  0.9383  0.5000  0.0617
O  0.0000  0.6025  0.3975
O  0.0000  0.8301  0.1699
O  0.1561  0.2477  0.5261
O  0.1699  0.0000  0.8301
O  0.2477  0.5261  0.1561
O  0.3975  0.0000  0.6025
O  0.4739  0.7523  0.8439
O  0.5261  0.1561  0.2477
O  0.6025  0.3975  0.0000
O  0.7523  0.8439  0.4739
O  0.8301  0.1699  0.0000
O  0.8439  0.4739  0.7523

The space-group type is R32. As for the raw formation energy: -1624 meV/atom.

15.
## CePm2Er8 (PBE-GGA)

Data for a relaxed structure of CePm2Er8.

a = 10.0863 Å, b = 10.0863 Å, c = 5.5458 Å
α = 92.70°, β = 92.70°, γ = 39.97°
Fractional coordinates of all 11 atoms:
Ce  0.0000  0.0000  0.0000
Pm  0.2833  0.2833  0.7515
Pm  0.7167  0.7167  0.2485
Er  0.1343  0.6053  0.2678
Er  0.1846  0.1846  0.2334
Er  0.3947  0.8657  0.7322
Er  0.4533  0.4533  0.7630
Er  0.5467  0.5467  0.2370
Er  0.6053  0.1343  0.2678
Er  0.8154  0.8154  0.7666
Er  0.8657  0.3947  0.7322

The space-group type is C2/m. The formation energy is 0.1804 eV/atom. Its energy relative to the lowest polymorph listed for this composition is 139 meV per atom.

16.
## Tb3PrDy2 (PBE-GGA)

Data for a relaxed structure of Tb3PrDy2.

a = 8.1408 Å, b = 8.1408 Å, c = 6.3642 Å
α = 90.00°, β = 90.00°, γ = 108.60°
Fractional coordinates of all 12 atoms:
Tb  0.0808  0.9192  0.5000
Tb  0.1240  0.5118  0.2965
Tb  0.4882  0.8760  0.2965
Tb  0.5118  0.1240  0.7965
Tb  0.8760  0.4882  0.7965
Tb  0.9192  0.0808  0.0000
Pr  0.1771  0.8229  0.9725
Pr  0.8229  0.1771  0.4725
Dy  0.2585  0.3774  0.7535
Dy  0.3774  0.2585  0.2535
Dy  0.6226  0.7415  0.7535
Dy  0.7415  0.6226  0.2535

The space-group type is Cmc2_1. The formation energy is 0.2248 eV/atom. Its energy relative to the lowest polymorph listed for this composition is 227 meV per atom.

Which N(E_F) belongs to each record? In order, 3.4 0.3 3.6 2.2 1.9 0.0 8.5 5.9 6.1 2.3 4.2 11.7 1.5 3.9 22.0 18.3 states/eV/cell.